Compound: AcDyGa
Source: Alexandria via LeMat-Bulk
Functional: PBE
Structure: relaxed

Results
Energy above the most stable polymorph in this dataset: 0.1915 eV per atom
Space group: F-43m (216)
Energy of formation from the pure elements: -0.18 eV per atom
Total magnetization: 0.0 μB/f.u.

Unit cell a=5.2050 b=5.2050 c=5.2050 alpha=60.00 beta=60.00 gamma=60.00
Closest atoms and distances in Å follow each position.
Atoms (fractional coordinates):
1 Ac 0.0000 0.0000 0.0000  4 Ga 3.19
2 Dy 0.5000 0.5000 0.5000  4 Ga 3.19
3 Ga 0.7500 0.7500 0.7500  4 Ac 3.19, 4 Dy 3.19